Sr3VAs: relaxed, PBE-GGA.

Total moment: 5.7 μB per formula unit
Space group: Pm-3m (221)
Energy of formation from the pure elements: 0.077 eV/atom
Polymorph energy (0 for the lowest one): 0 kJ/mol of formula units

Lattice parameters (Å, degrees): 5.962 5.962 5.962 90.00 90.00 90.00
Positions (direct):
Sr 0.000 0.500 0.000
Sr 0.000 0.000 0.500
Sr 0.500 0.000 0.000
As 0.000 0.000 0.000
V 0.500 0.500 0.500